The following is a DFT calculation (SCAN) of a crystal of TlAgSb2 relaxed with PBEsol.

- E_tot (eV/atom) = -44.4373
- theoretical density (kg/m3) = 9252
- formation energy (no corrections) (eV per atom) = 0.12
- N(E_F) (states/eV/f.u.) = 1.7

a = 3.2740 Å, b = 3.2740 Å, c = 9.3061 Å
α = 90.00°, β = 90.00°, γ = 90.00°
With the nearest neighbours (Å) after each atom.
Fractional coordinates of all 4 atoms:
Sb1 0.0000 0.0000 0.2891  4 Ag 3.04, 4 Sb 3.27
Ag1 0.5000 0.5000 0.5000  8 Sb 3.04, 4 Ag 3.27
Sb2 0.0000 0.0000 0.7109  4 Ag 3.04, 4 Sb 3.27
Tl1 0.5000 0.5000 0.0000  4 Tl 3.27, 8 Sb 3.55

---

The following is a DFT calculation (SCAN) of a crystal of LaHg2 relaxed with PBEsol.

- energy of formation from the pure elements (eV/atom) = -0.499
- E_tot (eV/atom) = -60.3114
- theoretical density (kg/m3) = 11951
- N(E_F) (states/eV/f.u.) = 1.3

a = 5.9651 Å, b = 5.9651 Å, c = 5.9651 Å
α = 60.00°, β = 60.00°, γ = 60.00°
With the nearest neighbours (Å) after each atom.
Fractional coordinates of all 6 atoms:
Hg1 0.1250 0.6250 0.6250  6 Hg 2.98
Hg2 0.6250 0.6250 0.6250  6 Hg 2.98
Hg3 0.6250 0.6250 0.1250  6 Hg 2.98
Hg4 0.6250 0.1250 0.6250  6 Hg 2.98
La1 0.2500 0.2500 0.2500  12 Hg 3.50, 4 La 3.65
La2 0.0000 0.0000 0.0000  12 Hg 3.50, 4 La 3.65

---

What did the first record say?
The following is a DFT calculation (SCAN) of a crystal of TlAgSb2 relaxed with PBEsol.

- E_tot (eV/atom) = -44.4373
- theoretical density (kg/m3) = 9252
- formation energy (no corrections) (eV per atom) = 0.12
- N(E_F) (states/eV/f.u.) = 1.7

a = 3.2740 Å, b = 3.2740 Å, c = 9.3061 Å
α = 90.00°, β = 90.00°, γ = 90.00°
With the nearest neighbours (Å) after each atom.
Fractional coordinates of all 4 atoms:
Sb1 0.0000 0.0000 0.2891  4 Ag 3.04, 4 Sb 3.27
Ag1 0.5000 0.5000 0.5000  8 Sb 3.04, 4 Ag 3.27
Sb2 0.0000 0.0000 0.7109  4 Ag 3.04, 4 Sb 3.27
Tl1 0.5000 0.5000 0.0000  4 Tl 3.27, 8 Sb 3.55